Record 1
Compound: K2AlPb
Source: the Alexandria database
Functional: GGA-PBE
Structure: optimized geometry

Summary:
Symmetry: No. 25
M_tot in μB/f.u.: 0.000
Distance to the lowest polymorph of the same formula in meV per atom: 82

Cell: 3.7881 4.0517 10.3170 Å, 90.00 90.00 90.00°
Closest atoms and distances in Å follow each position.
Fractional coordinates of all 4 atoms:
K 0.5000 0.5000 0.3199  4 Pb 3.72, 4 K 3.79-4.05, 1 Al 3.88
K 0.0000 0.0000 0.9235  4 Al 3.63, 1 Pb 3.75, 4 K 3.79-4.05
Al 0.5000 0.5000 0.6963  4 Pb 3.11
Pb 0.0000 0.0000 0.5603  4 Al 3.11

=====

Record 2
Compound: KAl2Pb
Source: the Alexandria database
Functional: GGA-PBE
Structure: optimized geometry

Summary:
Symmetry: No. 25
M_tot in μB/f.u.: 0.000

Cell: 3.8825 3.4190 8.8776 Å, 67.30 90.00 90.00°
Closest atoms and distances in Å follow each position.
Fractional coordinates of all 4 atoms:
Al 0.5000 0.3260 0.1739  4 Al 2.82, 1 Pb 2.97
Al 0.0000 0.9645 0.0358  4 Al 2.82
Pb 0.5000 0.6887 0.8107  5 Al 2.97-3.18
K 0.0000 0.5208 0.4796  2 K 3.42, 5 Al 3.60-3.63, 4 Pb 3.75

=====

Number 1: volume 39.59 A^3/atom, mass density 3.3 g/cm3, ΔE_f 0.093 eV per atom. Number 2: volume 27.18 A^3/atom, mass density 4.6 g/cm3, ΔE_f 0.089 eV per atom.